Model a:
VASP calculation (PBE) on a relaxed Mg2Ga2Pd crystal.

## Properties
The calculation puts the density of states at the Fermi level at 0.348 states/eV/atom.

The structure in CIF format:
```
data_Mg2Ga2Pd
_chemical_formula_sum 'Mg4 Ga4 Pd2'
_cell_length_a 6.6042
_cell_length_b 6.6042
_cell_length_c 4.1875
_cell_angle_alpha 90.00
_cell_angle_beta 90.00
_cell_angle_gamma 90.00
_space_group_name_H-M_alt 'P 4/m b m'
_space_group_IT_number 127
_space_group_name_Hall '-P 4 2ab'
loop_
_atom_site_label
_atom_site_fract_x
_atom_site_fract_y
_atom_site_fract_z
Mg1 0.1717 0.3283 0.0000
Ga1 0.1351 0.6351 0.5000
Pd1 0.0000 0.0000 0.5000
```

=====

Model b:
VASP calculation (PBE) on a relaxed Mg2Ga2Pd crystal.

## Properties
The calculation puts the density of states at the Fermi level at 0.420 states/eV/atom.

The structure in CIF format:
```
data_Mg2Ga2Pd
_chemical_formula_sum 'Mg8 Ga8 Pd4'
_cell_length_a 9.8685
_cell_length_b 4.2379
_cell_length_c 9.7338
_cell_angle_alpha 90.00
_cell_angle_beta 113.71
_cell_angle_gamma 90.00
_space_group_name_H-M_alt 'C 1 2/m 1'
_space_group_IT_number 12
_space_group_name_Hall '-C 2y'
loop_
_atom_site_label
_atom_site_fract_x
_atom_site_fract_y
_atom_site_fract_z
Mg1 0.0076 0.0000 0.3313
Mg2 0.1817 0.0000 0.1080
Ga1 0.0366 0.5000 0.8874
Ga2 0.1445 0.5000 0.5610
Pd1 0.2173 0.5000 0.3301
```

=====

Best to worst by energy: model b, model a.

=====

Model a:
VASP calculation (PBE) on a relaxed Mg3GaPd3 crystal.

## Properties
The calculation puts the density of states at the Fermi level at 0.435 states/eV/atom.

The structure in CIF format:
```
data_Mg3GaPd3
_chemical_formula_sum 'Mg9 Ga3 Pd9'
_cell_length_a 8.7616
_cell_length_b 8.7616
_cell_length_c 5.5367
_cell_angle_alpha 90.00
_cell_angle_beta 90.00
_cell_angle_gamma 120.00
_space_group_name_H-M_alt 'R -3 m'
_space_group_IT_number 166
_space_group_name_Hall '-R 3 2"'
loop_
_atom_site_label
_atom_site_fract_x
_atom_site_fract_y
_atom_site_fract_z
Mg1 0.0000 0.5000 0.0000
Ga1 0.0000 0.0000 0.0000
Pd1 0.0000 0.5000 0.5000
```

=====

Model b:
VASP calculation (PBE) on a relaxed Mg3GaPd3 crystal.

## Properties
The calculation puts the density of states at the Fermi level at 0.352 states/eV/atom.

The structure in CIF format:
```
data_Mg3GaPd3
_chemical_formula_sum 'Mg12 Ga4 Pd12'
_cell_length_a 6.4577
_cell_length_b 9.1336
_cell_length_c 8.2767
_cell_angle_alpha 90.00
_cell_angle_beta 92.22
_cell_angle_gamma 90.00
_space_group_name_H-M_alt 'C 1 2/m 1'
_space_group_IT_number 12
_space_group_name_Hall '-C 2y'
loop_
_atom_site_label
_atom_site_fract_x
_atom_site_fract_y
_atom_site_fract_z
Mg1 0.0000 0.1672 0.0000
Mg2 0.0000 0.2323 0.5000
Mg3 0.0771 0.5000 0.8161
Ga1 0.2094 0.5000 0.4574
Pd1 0.0357 0.0000 0.2841
Pd2 0.2309 0.2824 0.2409
```

=====

Best to worst by energy: model a, model b.

=====

Model a:
VASP calculation (PBE) on a relaxed Mg7Ga2Pd2 crystal.

## Properties
The calculation puts the density of states at the Fermi level at 0.342 states/eV/atom.

The structure in CIF format:
```
data_Mg7Ga2Pd2
_chemical_formula_sum 'Mg14 Ga4 Pd4'
_cell_length_a 6.9719
_cell_length_b 9.7288
_cell_length_c 6.9682
_cell_angle_alpha 90.00
_cell_angle_beta 90.00
_cell_angle_gamma 90.00
_space_group_name_H-M_alt 'C m m m'
_space_group_IT_number 65
_space_group_name_Hall '-C 2 2'
loop_
_atom_site_label
_atom_site_fract_x
_atom_site_fract_y
_atom_site_fract_z
Mg1 0.0000 0.0000 0.0000
Mg2 0.0000 0.5000 0.2340
Mg3 0.2500 0.2500 0.2803
Ga1 0.1808 0.0000 0.5000
Pd1 0.0000 0.2809 0.0000
```

=====

Model b:
VASP calculation (PBE) on a relaxed Mg7Ga2Pd2 crystal.

## Properties
The calculation puts the density of states at the Fermi level at 0.268 states/eV/atom.

The structure in CIF format:
```
data_Mg7Ga2Pd2
_chemical_formula_sum 'Mg14 Ga4 Pd4'
_cell_length_a 7.3014
_cell_length_b 8.2566
_cell_length_c 7.1585
_cell_angle_alpha 90.00
_cell_angle_beta 106.37
_cell_angle_gamma 90.00
_space_group_name_H-M_alt 'C 1 2/m 1'
_space_group_IT_number 12
_space_group_name_Hall '-C 2y'
loop_
_atom_site_label
_atom_site_fract_x
_atom_site_fract_y
_atom_site_fract_z
Mg1 0.0000 0.0000 0.0000
Mg2 0.1664 0.0000 0.4286
Mg3 0.2013 0.3140 0.1783
Ga1 0.0000 0.3080 0.5000
Pd1 0.1202 0.5000 0.8274
```

=====

Best to worst by energy: model b, model a.

=====

Model a:
VASP calculation (PBE) on a relaxed Mg4Ga3Pd crystal.

## Properties
The calculation puts the density of states at the Fermi level at 0.360 states/eV/atom.

The structure in CIF format:
```
data_Mg4Ga3Pd
_chemical_formula_sum 'Mg8 Ga6 Pd2'
_cell_length_a 9.0668
_cell_length_b 7.1187
_cell_length_c 4.5326
_cell_angle_alpha 90.00
_cell_angle_beta 90.00
_cell_angle_gamma 90.00
_space_group_name_H-M_alt 'P m m a'
_space_group_IT_number 51
_space_group_name_Hall '-P 2a 2a'
loop_
_atom_site_label
_atom_site_fract_x
_atom_site_fract_y
_atom_site_fract_z
Mg1 0.0000 0.2387 0.0000
Mg2 0.2500 0.2390 0.4955
Ga1 0.0000 0.5000 0.5000
Ga2 0.2500 0.0000 0.9939
Ga3 0.2500 0.5000 0.9960
Pd1 0.0000 0.0000 0.5000
```

=====

Model b:
VASP calculation (PBE) on a relaxed Mg4Ga3Pd crystal.

## Properties
The calculation puts the density of states at the Fermi level at 0.379 states/eV/atom.

The structure in CIF format:
```
data_Mg4Ga3Pd
_chemical_formula_sum 'Mg4 Ga3 Pd1'
_cell_length_a 3.2961
_cell_length_b 4.3623
_cell_length_c 10.3915
_cell_angle_alpha 90.00
_cell_angle_beta 90.00
_cell_angle_gamma 90.00
_space_group_name_H-M_alt 'P m m 2'
_space_group_IT_number 25
_space_group_name_Hall 'P 2 -2'
loop_
_atom_site_label
_atom_site_fract_x
_atom_site_fract_y
_atom_site_fract_z
Mg1 0.0000 0.0000 0.0000
Mg2 0.0000 0.5000 0.3069
Mg3 0.5000 0.0000 0.4801
Mg4 0.5000 0.5000 0.8134
Ga1 0.0000 0.0000 0.7253
Ga2 0.0000 0.5000 0.5780
Ga3 0.5000 0.5000 0.0811
Pd1 0.5000 0.0000 0.2181
```

=====

Best to worst by energy: model b, model a.

=====

Model a:
VASP calculation (PBE) on a relaxed MgGaPdRu crystal.

## Properties
The calculation puts the density of states at the Fermi level at 0.340 states/eV/atom.

The structure in CIF format:
```
data_MgGaPdRu
_chemical_formula_sum 'Mg1 Ga1 Pd1 Ru1'
_cell_length_a 3.2182
_cell_length_b 4.1740
_cell_length_c 4.3936
_cell_angle_alpha 90.00
_cell_angle_beta 90.00
_cell_angle_gamma 90.00
_space_group_name_H-M_alt 'P m m m'
_space_group_IT_number 47
_space_group_name_Hall '-P 2 2'
loop_
_atom_site_label
_atom_site_fract_x
_atom_site_fract_y
_atom_site_fract_z
Mg1 0.0000 0.0000 0.0000
Ga1 0.0000 0.5000 0.5000
Pd1 0.5000 0.5000 0.0000
Ru1 0.5000 0.0000 0.5000
```

=====

Model b:
VASP calculation (PBE) on a relaxed MgGaPdRu crystal.

## Properties
The calculation puts the density of states at the Fermi level at 0.494 states/eV/atom.

The structure in CIF format:
```
data_MgGaPdRu
_chemical_formula_sum 'Mg4 Ga4 Pd4 Ru4'
_cell_length_a 6.1665
_cell_length_b 6.1665
_cell_length_c 6.1665
_cell_angle_alpha 90.00
_cell_angle_beta 90.00
_cell_angle_gamma 90.00
_space_group_name_H-M_alt 'F -4 3 m'
_space_group_IT_number 216
_space_group_name_Hall 'F -4 2 3'
loop_
_atom_site_label
_atom_site_fract_x
_atom_site_fract_y
_atom_site_fract_z
Mg1 0.0000 0.0000 0.0000
Ga1 0.0000 0.0000 0.5000
Pd1 0.2500 0.2500 0.7500
Ru1 0.2500 0.2500 0.2500
```

=====

Best to worst by energy: model a, model b.